First-principles (GGA-PBE) data for a relaxed structure of LaHfTeRh2, as listed in Alexandria via LeMat-Bulk.

a b c (Å): 4.942 4.942 5.208
angles (deg): 90.00 90.00 90.00
Space group P4/mmm (No. 123)
One atom of each set of equivalent atoms:
1 La 0.000 0.000 0.000
2 Hf 0.500 0.500 0.000
3 Te 0.500 0.500 0.500
4 Rh 0.000 0.500 0.500

Summary:
Total magnetic moment in Bohr magnetons per cell: 0.0
Density of states at the Fermi level in states/eV per cell: 5.45
Electronic total energy in eV/cell: -31.77
Formation energy (no corrections) in eV per atom: 0.191